<1>
# Ta2SiSb | Alexandria | PBE-GGA | relaxed
data_Ta2SiSb
_cell_length_a 5.849
_cell_length_b 5.118
_cell_length_c 3.079
_cell_angle_alpha 79.52
_cell_angle_beta 77.99
_cell_angle_gamma 120.58
_space_group_name_H-M_alt 'P 1'
_space_group_IT_number 1
loop_
_space_group_symop_operation_xyz
'x,y,z'
loop_
_atom_site_label
_atom_site_type_symbol
_atom_site_fract_x
_atom_site_fract_y
_atom_site_fract_z
Sb1 Sb 0.000 0.500 0.500
Si1 Si 0.500 0.500 0.000
Ta1 Ta 0.000 0.000 0.000
Ta2 Ta 0.500 0.000 0.500
# Magnetization: 0.0 Bohr magnetons per cell
# SG: C2/m (12)
# Density of states at the Fermi level: 2.07 states/eV/f.u.

<2>
# Ta2SiSb | Alexandria | PBE-GGA | relaxed
data_Ta2SiSb
_cell_length_a 4.917
_cell_length_b 4.917
_cell_length_c 4.845
_cell_angle_alpha 85.62
_cell_angle_beta 85.62
_cell_angle_gamma 39.63
_space_group_name_H-M_alt 'P 1'
_space_group_IT_number 1
loop_
_space_group_symop_operation_xyz
'x,y,z'
loop_
_atom_site_label
_atom_site_type_symbol
_atom_site_fract_x
_atom_site_fract_y
_atom_site_fract_z
Sb1 Sb 0.250 0.250 0.250
Si1 Si 0.750 0.750 0.750
Ta1 Ta 0.994 0.994 0.984
Ta2 Ta 0.506 0.506 0.516
# Magnetization: 0.0 Bohr magnetons per cell
# SG: C2/m (12)
# Density of states at the Fermi level: 2.51 states/eV/f.u.

<3>
# Ta2SiSb | Alexandria | PBE-GGA | relaxed
data_Ta2SiSb
_cell_length_a 3.462
_cell_length_b 3.026
_cell_length_c 7.780
_cell_angle_alpha 63.67
_cell_angle_beta 90.00
_cell_angle_gamma 90.00
_space_group_name_H-M_alt 'P 1'
_space_group_IT_number 1
loop_
_space_group_symop_operation_xyz
'x,y,z'
loop_
_atom_site_label
_atom_site_type_symbol
_atom_site_fract_x
_atom_site_fract_y
_atom_site_fract_z
Sb1 Sb 0.500 0.250 0.250
Si1 Si 0.500 0.750 0.750
Ta1 Ta 0.000 0.982 0.959
Ta2 Ta 0.000 0.518 0.541
# Magnetization: 0.0 Bohr magnetons per cell
# SG: P2/m (10)
# Density of states at the Fermi level: 2.14 states/eV/f.u.

<4>
# Ta2SiSb | Alexandria | PBE-GGA | relaxed
data_Ta2SiSb
_cell_length_a 3.557
_cell_length_b 4.893
_cell_length_c 4.167
_cell_angle_alpha 90.00
_cell_angle_beta 90.00
_cell_angle_gamma 90.00
_space_group_name_H-M_alt 'P 1'
_space_group_IT_number 1
loop_
_space_group_symop_operation_xyz
'x,y,z'
loop_
_atom_site_label
_atom_site_type_symbol
_atom_site_fract_x
_atom_site_fract_y
_atom_site_fract_z
Sb1 Sb 0.500 0.000 0.500
Si1 Si 0.000 0.500 0.500
Ta1 Ta 0.000 0.000 0.000
Ta2 Ta 0.500 0.500 0.000
# Magnetization: 0.0 Bohr magnetons per cell
# SG: Pmmm (47)
# Density of states at the Fermi level: 2.25 states/eV/f.u.

Energetically preferred structure: <3> | next structure: +6.6 kJ/mol of atoms

<1>
# Ta2SiSb | Alexandria | PBE-GGA | relaxed
data_Ta2SiSb
_cell_length_a 4.708
_cell_length_b 4.708
_cell_length_c 4.708
_cell_angle_alpha 60.00
_cell_angle_beta 60.00
_cell_angle_gamma 60.00
_space_group_name_H-M_alt 'P 1'
_space_group_IT_number 1
loop_
_space_group_symop_operation_xyz
'x,y,z'
loop_
_atom_site_label
_atom_site_type_symbol
_atom_site_fract_x
_atom_site_fract_y
_atom_site_fract_z
Sb1 Sb 0.500 0.500 0.500
Si1 Si 0.750 0.750 0.750
Ta1 Ta 0.000 0.000 0.000
Ta2 Ta 0.250 0.250 0.250
# Magnetization: 0.0 Bohr magnetons per cell
# SG: F-43m (216)
# Density of states at the Fermi level: 6.49 states/eV/f.u.

<2>
# Ta2SiSb | Alexandria | PBE-GGA | relaxed
data_Ta2SiSb
_cell_length_a 5.303
_cell_length_b 5.303
_cell_length_c 5.303
_cell_angle_alpha 140.88
_cell_angle_beta 129.06
_cell_angle_gamma 66.05
_space_group_name_H-M_alt 'P 1'
_space_group_IT_number 1
loop_
_space_group_symop_operation_xyz
'x,y,z'
loop_
_atom_site_label
_atom_site_type_symbol
_atom_site_fract_x
_atom_site_fract_y
_atom_site_fract_z
Sb1 Sb 0.500 0.500 0.000
Si1 Si 0.233 0.733 0.500
Ta1 Ta 0.014 0.014 0.000
Ta2 Ta 0.753 0.253 0.500
# Magnetization: 0.0 Bohr magnetons per cell
# SG: Imm2 (44)
# Density of states at the Fermi level: 1.77 states/eV/f.u.

<3>
# Ta2SiSb | Alexandria | PBE-GGA | relaxed
data_Ta2SiSb
_cell_length_a 3.443
_cell_length_b 3.443
_cell_length_c 6.147
_cell_angle_alpha 90.00
_cell_angle_beta 90.00
_cell_angle_gamma 90.00
_space_group_name_H-M_alt 'P 1'
_space_group_IT_number 1
loop_
_space_group_symop_operation_xyz
'x,y,z'
loop_
_atom_site_label
_atom_site_type_symbol
_atom_site_fract_x
_atom_site_fract_y
_atom_site_fract_z
Sb1 Sb 0.000 0.000 0.490
Si1 Si 0.500 0.500 0.797
Ta1 Ta 0.000 0.000 0.970
Ta2 Ta 0.500 0.500 0.243
# Magnetization: 0.0 Bohr magnetons per cell
# SG: P4mm (99)
# Density of states at the Fermi level: 2.98 states/eV/f.u.

<4>
# Ta2SiSb | Alexandria | PBE-GGA | relaxed
data_Ta2SiSb
_cell_length_a 9.165
_cell_length_b 9.165
_cell_length_c 9.165
_cell_angle_alpha 19.20
_cell_angle_beta 19.20
_cell_angle_gamma 19.20
_space_group_name_H-M_alt 'P 1'
_space_group_IT_number 1
loop_
_space_group_symop_operation_xyz
'x,y,z'
loop_
_atom_site_label
_atom_site_type_symbol
_atom_site_fract_x
_atom_site_fract_y
_atom_site_fract_z
Sb1 Sb 0.250 0.250 0.250
Si1 Si 0.750 0.750 0.750
Ta1 Ta 0.005 0.005 0.005
Ta2 Ta 0.495 0.495 0.495
# Magnetization: 0.0 Bohr magnetons per cell
# SG: R-3m (166)
# Density of states at the Fermi level: 2.69 states/eV/f.u.

Energetically preferred structure: <3> | next structure: +23.3 kJ/mol of atoms

<1>
# Ta2SiSb | Alexandria | PBE-GGA | relaxed
data_Ta2SiSb
_cell_length_a 4.036
_cell_length_b 4.036
_cell_length_c 10.096
_cell_angle_alpha 78.47
_cell_angle_beta 78.47
_cell_angle_gamma 90.00
_space_group_name_H-M_alt 'P 1'
_space_group_IT_number 1
loop_
_space_group_symop_operation_xyz
'x,y,z'
loop_
_atom_site_label
_atom_site_type_symbol
_atom_site_fract_x
_atom_site_fract_y
_atom_site_fract_z
Sb1 Sb 0.000 0.000 0.000
Sb2 Sb 0.750 0.250 0.500
Si1 Si 0.500 0.500 0.000
Si2 Si 0.250 0.750 0.500
Ta1 Ta 0.612 0.125 0.250
Ta2 Ta 0.138 0.625 0.250
Ta3 Ta 0.375 0.388 0.750
Ta4 Ta 0.875 0.862 0.750
# Magnetization: 0.0 Bohr magnetons per cell
# SG: I-42d (122)
# Density of states at the Fermi level: 4.43 states/eV/f.u.

<2>
# Ta2SiSb | Alexandria | PBE-GGA | relaxed
data_Ta2SiSb
_cell_length_a 2.918
_cell_length_b 2.918
_cell_length_c 9.265
_cell_angle_alpha 90.00
_cell_angle_beta 90.00
_cell_angle_gamma 90.00
_space_group_name_H-M_alt 'P 1'
_space_group_IT_number 1
loop_
_space_group_symop_operation_xyz
'x,y,z'
loop_
_atom_site_label
_atom_site_type_symbol
_atom_site_fract_x
_atom_site_fract_y
_atom_site_fract_z
Sb1 Sb 0.000 0.000 0.485
Si1 Si 0.500 0.500 0.789
Ta1 Ta 0.000 0.000 0.989
Ta2 Ta 0.500 0.500 0.237
# Magnetization: 0.0 Bohr magnetons per cell
# SG: P4mm (99)
# Density of states at the Fermi level: 2.79 states/eV/f.u.

Energetically preferred structure: <2> | next structure: +15.4 kJ/mol of atoms

<1>
# Ta2SiSb | Alexandria | PBE-GGA | relaxed
data_Ta2SiSb
_cell_length_a 3.129
_cell_length_b 3.129
_cell_length_c 7.715
_cell_angle_alpha 90.00
_cell_angle_beta 90.00
_cell_angle_gamma 104.37
_space_group_name_H-M_alt 'P 1'
_space_group_IT_number 1
loop_
_space_group_symop_operation_xyz
'x,y,z'
loop_
_atom_site_label
_atom_site_type_symbol
_atom_site_fract_x
_atom_site_fract_y
_atom_site_fract_z
Sb1 Sb 0.500 0.500 0.250
Si1 Si 0.500 0.500 0.750
Ta1 Ta 0.000 0.000 0.967
Ta2 Ta 0.000 0.000 0.533
# Magnetization: 0.0 Bohr magnetons per cell
# SG: Cmmm (65)
# Density of states at the Fermi level: 2.70 states/eV/f.u.

<2>
# Ta2SiSb | Alexandria | PBE-GGA | relaxed
data_Ta2SiSb
_cell_length_a 4.630
_cell_length_b 4.630
_cell_length_c 3.339
_cell_angle_alpha 90.00
_cell_angle_beta 90.00
_cell_angle_gamma 90.00
_space_group_name_H-M_alt 'P 1'
_space_group_IT_number 1
loop_
_space_group_symop_operation_xyz
'x,y,z'
loop_
_atom_site_label
_atom_site_type_symbol
_atom_site_fract_x
_atom_site_fract_y
_atom_site_fract_z
Sb1 Sb 0.500 0.000 0.500
Si1 Si 0.000 0.500 0.500
Ta1 Ta 0.000 0.000 0.000
Ta2 Ta 0.500 0.500 0.000
# Magnetization: 0.0 Bohr magnetons per cell
# SG: P4/mmm (123)
# Density of states at the Fermi level: 2.29 states/eV/f.u.

<3>
# Ta2SiSb | Alexandria | PBE-GGA | relaxed
data_Ta2SiSb
_cell_length_a 2.981
_cell_length_b 2.981
_cell_length_c 9.185
_cell_angle_alpha 90.00
_cell_angle_beta 90.00
_cell_angle_gamma 104.45
_space_group_name_H-M_alt 'P 1'
_space_group_IT_number 1
loop_
_space_group_symop_operation_xyz
'x,y,z'
loop_
_atom_site_label
_atom_site_type_symbol
_atom_site_fract_x
_atom_site_fract_y
_atom_site_fract_z
Sb1 Sb 0.000 0.000 0.480
Si1 Si 0.500 0.500 0.793
Ta1 Ta 0.000 0.000 0.994
Ta2 Ta 0.500 0.500 0.233
# Magnetization: 0.0 Bohr magnetons per cell
# SG: Cmm2 (35)
# Density of states at the Fermi level: 1.60 states/eV/f.u.

<4>
# Ta2SiSb | Alexandria | PBE-GGA | relaxed
data_Ta2SiSb
_cell_length_a 4.864
_cell_length_b 2.981
_cell_length_c 5.261
_cell_angle_alpha 76.91
_cell_angle_beta 90.00
_cell_angle_gamma 90.00
_space_group_name_H-M_alt 'P 1'
_space_group_IT_number 1
loop_
_space_group_symop_operation_xyz
'x,y,z'
loop_
_atom_site_label
_atom_site_type_symbol
_atom_site_fract_x
_atom_site_fract_y
_atom_site_fract_z
Sb1 Sb 0.000 0.561 0.488
Si1 Si 0.500 0.849 0.799
Ta1 Ta 0.000 0.921 0.967
Ta2 Ta 0.500 0.169 0.246
# Magnetization: 0.0 Bohr magnetons per cell
# SG: Pm (6)
# Density of states at the Fermi level: 2.31 states/eV/f.u.

Energetically preferred structure: <1> | next structure: +1.3 kJ/mol of atoms

<1>
# Ta2SiSb | Alexandria | PBE-GGA | relaxed
data_Ta2SiSb
_cell_length_a 8.720
_cell_length_b 8.720
_cell_length_c 8.720
_cell_angle_alpha 21.51
_cell_angle_beta 21.51
_cell_angle_gamma 21.51
_space_group_name_H-M_alt 'P 1'
_space_group_IT_number 1
loop_
_space_group_symop_operation_xyz
'x,y,z'
loop_
_atom_site_label
_atom_site_type_symbol
_atom_site_fract_x
_atom_site_fract_y
_atom_site_fract_z
Sb1 Sb 0.501 0.501 0.501
Si1 Si 0.742 0.742 0.742
Ta1 Ta 0.002 0.002 0.002
Ta2 Ta 0.255 0.255 0.255
# Magnetization: 0.0 Bohr magnetons per cell
# SG: R3m (160)
# Density of states at the Fermi level: 3.08 states/eV/f.u.

<2>
# Ta2SiSb | Alexandria | PBE-GGA | relaxed
data_Ta2SiSb
_cell_length_a 5.024
_cell_length_b 5.024
_cell_length_c 5.024
_cell_angle_alpha 136.30
_cell_angle_beta 121.17
_cell_angle_gamma 76.08
_space_group_name_H-M_alt 'P 1'
_space_group_IT_number 1
loop_
_space_group_symop_operation_xyz
'x,y,z'
loop_
_atom_site_label
_atom_site_type_symbol
_atom_site_fract_x
_atom_site_fract_y
_atom_site_fract_z
Sb1 Sb 0.750 0.250 0.500
Si1 Si 0.250 0.750 0.500
Ta1 Ta 0.037 0.037 0.000
Ta2 Ta 0.463 0.463 0.000
# Magnetization: 0.0 Bohr magnetons per cell
# SG: Immm (71)
# Density of states at the Fermi level: 2.19 states/eV/f.u.

<3>
# Ta2SiSb | Alexandria | PBE-GGA | relaxed
data_Ta2SiSb
_cell_length_a 4.657
_cell_length_b 4.657
_cell_length_c 4.657
_cell_angle_alpha 60.00
_cell_angle_beta 60.00
_cell_angle_gamma 60.00
_space_group_name_H-M_alt 'P 1'
_space_group_IT_number 1
loop_
_space_group_symop_operation_xyz
'x,y,z'
loop_
_atom_site_label
_atom_site_type_symbol
_atom_site_fract_x
_atom_site_fract_y
_atom_site_fract_z
Sb1 Sb 0.500 0.500 0.500
Si1 Si 0.000 0.000 0.000
Ta1 Ta 0.250 0.250 0.250
Ta2 Ta 0.750 0.750 0.750
# Magnetization: 0.0 Bohr magnetons per cell
# SG: Fm-3m (225)
# Density of states at the Fermi level: 3.23 states/eV/f.u.

Energetically preferred structure: <2> | next structure: +8.4 kJ/mol of atoms